(1)
# AgTeAs

A relaxed structure of AgTeAs (PBE, Alexandria).

The space group is P3m1 (No. 156) and the conventional cell measures 3.1860, 3.1860 and 8.1693 Å, with angles of 90.00, 90.00 and 120.00 degrees. Symmetry generates all atoms from Ag at (0.0000, 0.0000, 0.0000), Te at (0.3333, 0.6667, 0.6916) and As at (0.6667, 0.3333, 0.2585).

As for the raw formation energy: 0.349 eV/atom. The total magnetization is 0.000 μB/cell. Its total energy is -3.20 eV/atom. The theoretical density comes out at 7.18 g/cm³.

(2)
# AgTe2As2

A relaxed structure of AgTe2As2 (PBE, Alexandria).

The space group is I4/mmm (No. 139) and the conventional cell measures 3.841, 3.841 and 16.717 Å, with angles of 90.00, 90.00 and 90.00 degrees. Symmetry generates all atoms from Ag at (0.000, 0.000, 0.000), Te at (0.000, 0.000, 0.406) and As at (0.000, 0.500, 0.250).

As for the raw formation energy: 0.301 eV/atom. The calculation puts the distance to the lowest polymorph of the same formula at 51 meV/atom. The total magnetization is 0.000 μB/cell. Its total energy is -3.39 eV/atom. The theoretical density comes out at 6.91 g/cm³.

(3)
# AgTeAs2

A relaxed structure of AgTeAs2 (PBE, Alexandria).

The space group is P4/mmm (No. 123) and the conventional cell measures 4.043, 4.043 and 5.590 Å, with angles of 90.00, 90.00 and 90.00 degrees. Symmetry generates all atoms from Ag at (0.000, 0.000, 0.000), Te at (0.500, 0.500, 0.000), As at (0.000, 0.000, 0.500) and As at (0.500, 0.500, 0.500).

As for the raw formation energy: 0.142 eV/atom. The total magnetization is 0.000 μB/cell. Its total energy is -3.68 eV/atom. The theoretical density comes out at 7.00 g/cm³.

(4)
# AgTeAs2

A relaxed structure of AgTeAs2 (PBE, Alexandria).

The space group is I-4m2 (No. 119) and the conventional cell measures 5.104, 5.104 and 6.625 Å, with angles of 90.00, 90.00 and 90.00 degrees. Symmetry generates all atoms from Ag at (0.000, 0.000, 0.000), Te at (0.000, 0.500, 0.250), As at (0.000, 0.000, 0.500) and As at (0.000, 0.500, 0.750).

As for the raw formation energy: 0.400 eV/atom. The total magnetization is 0.000 μB/cell. Its total energy is -3.42 eV/atom. The theoretical density comes out at 7.41 g/cm³.